# 1
# CoIr3I (meta-GGA SCAN, single point on PBEsol structure)
data_CoIr3I
_chemical_formula_sum 'Co1 Ir3 I1'
_symmetry_space_group_name_H-M 'P m -3 m'
_symmetry_Int_Tables_number 221
_symmetry_space_group_name_Hall '-P 4 2 3'
_cell_length_a 4.4920
_cell_length_b 4.4920
_cell_length_c 4.4920
_cell_angle_alpha 90.00
_cell_angle_beta 90.00
_cell_angle_gamma 90.00
loop_
_atom_site_label
_atom_site_fract_x
_atom_site_fract_y
_atom_site_fract_z
Co1 0.0000 0.0000 0.0000
Ir1 0.0000 0.0000 0.5000
I1 0.5000 0.5000 0.5000
# - formation energy (no corrections) (eV/atom) = 1.7467
# - total magnetic moment (μB/f.u.) = 4.334

=====

# 2
# CoIrIN2 (meta-GGA SCAN, single point on PBEsol structure)
data_CoIrIN2
_chemical_formula_sum 'Co1 Ir1 I1 N2'
_symmetry_space_group_name_H-M 'P 4/m m m'
_symmetry_Int_Tables_number 123
_symmetry_space_group_name_Hall '-P 4 2'
_cell_length_a 3.6992
_cell_length_b 3.6992
_cell_length_c 7.5387
_cell_angle_alpha 90.00
_cell_angle_beta 90.00
_cell_angle_gamma 90.00
loop_
_atom_site_label
_atom_site_fract_x
_atom_site_fract_y
_atom_site_fract_z
Co1 0.0000 0.0000 0.0000
Ir1 0.5000 0.5000 0.5000
I1 0.5000 0.5000 0.0000
N1 0.0000 0.5000 0.5000
# - formation energy (no corrections) (eV/atom) = 0.9472
# - total magnetic moment (μB/f.u.) = 2.047

=====

# 3
# KCoI2 (meta-GGA SCAN, single point on PBEsol structure)
data_KCoI2
_chemical_formula_sum 'K4 Co4 I8'
_symmetry_space_group_name_H-M 'F m -3 m'
_symmetry_Int_Tables_number 225
_symmetry_space_group_name_Hall '-F 4 2 3'
_cell_length_a 7.6334
_cell_length_b 7.6334
_cell_length_c 7.6334
_cell_angle_alpha 90.00
_cell_angle_beta 90.00
_cell_angle_gamma 90.00
loop_
_atom_site_label
_atom_site_fract_x
_atom_site_fract_y
_atom_site_fract_z
K1 0.0000 0.0000 0.0000
Co1 0.0000 0.0000 0.5000
I1 0.2500 0.2500 0.2500
# - formation energy (no corrections) (eV/atom) = -0.0285
# - total magnetic moment (μB/f.u.) = 2.694

=====

# 4
# KCoIN2 (meta-GGA SCAN, single point on PBEsol structure)
data_KCoIN2
_chemical_formula_sum 'K1 Co1 I1 N2'
_symmetry_space_group_name_H-M 'P 4/m m m'
_symmetry_Int_Tables_number 123
_symmetry_space_group_name_Hall '-P 4 2'
_cell_length_a 4.0589
_cell_length_b 4.0589
_cell_length_c 5.3084
_cell_angle_alpha 90.00
_cell_angle_beta 90.00
_cell_angle_gamma 90.00
loop_
_atom_site_label
_atom_site_fract_x
_atom_site_fract_y
_atom_site_fract_z
K1 0.0000 0.0000 0.0000
Co1 0.5000 0.5000 0.5000
I1 0.5000 0.5000 0.0000
N1 0.0000 0.5000 0.5000
# - formation energy (no corrections) (eV/atom) = 0.7781
# - total magnetic moment (μB/f.u.) = 2.999

=====

# 5
# KScCoI2 (meta-GGA SCAN, single point on PBEsol structure)
data_KScCoI2
_chemical_formula_sum 'K1 Sc1 Co1 I2'
_symmetry_space_group_name_H-M 'P 4/m m m'
_symmetry_Int_Tables_number 123
_symmetry_space_group_name_Hall '-P 4 2'
_cell_length_a 5.6284
_cell_length_b 5.6284
_cell_length_c 4.3984
_cell_angle_alpha 90.00
_cell_angle_beta 90.00
_cell_angle_gamma 90.00
loop_
_atom_site_label
_atom_site_fract_x
_atom_site_fract_y
_atom_site_fract_z
K1 0.0000 0.0000 0.0000
Sc1 0.5000 0.5000 0.0000
Co1 0.5000 0.5000 0.5000
I1 0.0000 0.5000 0.5000
# - formation energy (no corrections) (eV/atom) = -0.1239
# - total magnetic moment (μB/f.u.) = 0.000

=====

# 6
# K2CoSeI (meta-GGA SCAN, single point on PBEsol structure)
data_K2CoSeI
_chemical_formula_sum 'K2 Co1 Se1 I1'
_symmetry_space_group_name_H-M 'P 4/m m m'
_symmetry_Int_Tables_number 123
_symmetry_space_group_name_Hall '-P 4 2'
_cell_length_a 6.2359
_cell_length_b 6.2359
_cell_length_c 5.6047
_cell_angle_alpha 90.00
_cell_angle_beta 90.00
_cell_angle_gamma 90.00
loop_
_atom_site_label
_atom_site_fract_x
_atom_site_fract_y
_atom_site_fract_z
K1 0.0000 0.5000 0.0000
Co1 0.0000 0.0000 0.5000
Se1 0.5000 0.5000 0.0000
I1 0.5000 0.5000 0.5000
# - formation energy (no corrections) (eV/atom) = 0.0101
# - total magnetic moment (μB/f.u.) = 2.347